The following is a PBE calculation of a relaxed structure of Ga2I3, from the Alexandria database.

Lattice parameters (Å, degrees): 3.8432 13.8623 8.9523 118.49 90.00 97.97
Element x y z (fractional)
I  0.8167  0.6334  0.9097
I  0.1833  0.3666  0.0903
I  0.6273  0.2547  0.5496
I  0.9756  0.9513  0.2067
I  0.0244  0.0487  0.7933
I  0.3727  0.7453  0.4504
Ga  0.3937  0.7874  0.9073
Ga  0.0863  0.1725  0.2901
Ga  0.9137  0.8275  0.7099
Ga  0.6063  0.2126  0.0927

Summary:
Electronic total energy ... -24.48 eV per cell
Fermi-level density of states ... 0.77 states/eV/f.u.